Entry 1:
Compound: Zn2InRh
Source: the Alexandria database
Functional: PBE
Structure: relaxed

Cell lengths 5.058, 5.058, 5.058 Å; angles 134.96, 134.96, 65.59 degrees
Fractional positions:
Zn: 0.250 0.750 0.500
Zn: 0.750 0.250 0.500
In: 0.000 0.000 0.000
Rh: 0.500 0.500 0.000

Computed properties:
For the calculated volume, the calculation gives 63.8 Å³ per cell. For the formation energy, the calculation gives -237 meV per atom. Its space-group type is No. 139.



Entry 2:
Compound: Zn2InRh
Source: the Alexandria database
Functional: PBE
Structure: relaxed

Cell lengths 4.583, 4.583, 3.203 Å; angles 90.00, 90.00, 105.26 degrees
Fractional positions:
Zn: 0.000 0.500 0.000
Zn: 0.500 0.000 0.000
In: 0.000 0.000 0.500
Rh: 0.500 0.500 0.500

Computed properties:
For the calculated volume, the calculation gives 64.9 Å³ per cell. For the formation energy, the calculation gives -112 meV per atom. Its space-group type is No. 65.



Entry 3:
Compound: ZnInRh2
Source: the Alexandria database
Functional: PBE
Structure: relaxed

Cell lengths 4.525, 2.984, 5.065 Å; angles 90.00, 111.54, 90.00 degrees
Fractional positions:
Zn: 0.000 0.000 0.000
In: 0.000 0.500 0.500
Rh: 0.500 0.000 0.500
Rh: 0.500 0.500 0.000

Computed properties:
For the calculated volume, the calculation gives 63.6 Å³ per cell. For the formation energy, the calculation gives -200 meV per atom. Its space-group type is No. 10.



Entry 4:
Compound: Zn2InRh
Source: the Alexandria database
Functional: PBE
Structure: relaxed

Cell lengths 5.445, 5.445, 3.006 Å; angles 105.17, 105.17, 119.01 degrees
Fractional positions:
Zn: 0.000 0.500 0.000
Zn: 0.500 0.000 0.000
In: 0.000 0.000 0.000
Rh: 0.500 0.500 0.000

Computed properties:
For the calculated volume, the calculation gives 66.8 Å³ per cell. For the formation energy, the calculation gives -103 meV per atom. Its space-group type is No. 12.



Entry 5:
Compound: ZnInRh3
Source: the Alexandria database
Functional: PBE
Structure: relaxed

Cell lengths 4.862, 4.862, 4.862 Å; angles 90.00, 90.00, 90.00 degrees
Fractional positions:
Zn: 0.000 0.000 0.000
In: 0.500 0.500 0.500
Rh: 0.000 0.500 0.500
Rh: 0.500 0.000 0.500
Rh: 0.500 0.500 0.000

Computed properties:
For the calculated volume, the calculation gives 114.9 Å³ per cell. For the formation energy, the calculation gives 1272 meV per atom. Its space-group type is No. 221. The value obtained for the excess energy over the best structure of this formula in the dataset is 0.630 eV/atom.



Entry 6:
Compound: Zn2InRh
Source: the Alexandria database
Functional: PBE
Structure: relaxed

Cell lengths 4.497, 4.497, 4.497 Å; angles 60.00, 60.00, 60.00 degrees
Fractional positions:
Zn: 0.000 0.000 0.000
Zn: 0.250 0.250 0.250
In: 0.500 0.500 0.500
Rh: 0.750 0.750 0.750

Computed properties:
For the calculated volume, the calculation gives 64.3 Å³ per cell. For the formation energy, the calculation gives -112 meV per atom. Its space-group type is No. 216.